Entry 1:
A relaxed structure of FeP3H, computed with PBE-GGA.

The energy above the most stable polymorph in this dataset comes out at 66 meV/atom. The crystal system is cubic.

```
data_FeP3H
_chemical_formula_sum 'Fe1 P3 H1'
_symmetry_space_group_name_H-M 'P 1'
_symmetry_Int_Tables_number 1
_symmetry_space_group_name_Hall 'P 1'
_cell_length_a 4.2822
_cell_length_b 4.2822
_cell_length_c 4.2822
_cell_angle_alpha 90.00
_cell_angle_beta 90.00
_cell_angle_gamma 90.00
loop_
_atom_site_label
_atom_site_type_symbol
_atom_site_fract_x
_atom_site_fract_y
_atom_site_fract_z
Fe1 Fe 0.0000 0.0000 0.0000
P1 P 0.0000 0.0000 0.5000
P2 P 0.0000 0.5000 0.0000
P3 P 0.5000 0.0000 0.0000
H1 H 0.5000 0.5000 0.5000
```

---

Entry 2:
A relaxed structure of Na2LaSiSe4, computed with PBE-GGA.

The crystal system is orthorhombic. Its formation energy from raw total energies is -1.05 eV/atom.

```
data_Na2LaSiSe4
_chemical_formula_sum 'Na4 La2 Si2 Se8'
_symmetry_space_group_name_H-M 'P 1'
_symmetry_Int_Tables_number 1
_symmetry_space_group_name_Hall 'P 1'
_cell_length_a 8.3397
_cell_length_b 8.3397
_cell_length_c 8.3397
_cell_angle_alpha 123.19
_cell_angle_beta 117.23
_cell_angle_gamma 89.72
loop_
_atom_site_label
_atom_site_type_symbol
_atom_site_fract_x
_atom_site_fract_y
_atom_site_fract_z
Na1 Na 0.0000 0.0000 0.0000
Na2 Na 0.5000 0.0000 0.0000
Na3 Na 0.5000 0.0000 0.5000
Na4 Na 0.5000 0.5000 0.5000
La1 La 0.0000 0.5000 0.5000
La2 La 0.5000 0.5000 0.0000
Si1 Si 0.0000 0.0000 0.5000
Si2 Si 0.0000 0.5000 0.0000
Se1 Se 0.2065 0.2479 0.9586
Se2 Se 0.2106 0.7521 0.4586
Se3 Se 0.2286 0.2257 0.4971
Se4 Se 0.2286 0.7315 0.0029
Se5 Se 0.7714 0.2685 0.9971
Se6 Se 0.7714 0.7743 0.5029
Se7 Se 0.7894 0.2479 0.5414
Se8 Se 0.7935 0.7521 0.0414
```

---

Entry 3:
A relaxed structure of Na2InHgPt, computed with PBE-GGA.

The formation energy comes out at -0.117 eV per atom. The crystal system is tetragonal.

```
data_Na2InHgPt
_chemical_formula_sum 'Na2 In1 Hg1 Pt1'
_symmetry_space_group_name_H-M 'P 1'
_symmetry_Int_Tables_number 1
_symmetry_space_group_name_Hall 'P 1'
_cell_length_a 5.4904
_cell_length_b 5.4904
_cell_length_c 5.1513
_cell_angle_alpha 90.00
_cell_angle_beta 90.00
_cell_angle_gamma 90.00
loop_
_atom_site_label
_atom_site_type_symbol
_atom_site_fract_x
_atom_site_fract_y
_atom_site_fract_z
Na1 Na 0.0000 0.5000 0.0000
Na2 Na 0.5000 0.0000 0.0000
In1 In 0.0000 0.0000 0.5000
Hg1 Hg 0.5000 0.5000 0.5000
Pt1 Pt 0.0000 0.0000 0.0000
```

---

Entry 4:
A relaxed structure of RbUSe3S, computed with PBE-GGA.

The crystal system is monoclinic. Its formation energy from raw total energies is -0.99 eV/atom.

```
data_RbUSe3S
_chemical_formula_sum 'Rb2 U2 Se6 S2'
_symmetry_space_group_name_H-M 'P 1'
_symmetry_Int_Tables_number 1
_symmetry_space_group_name_Hall 'P 1'
_cell_length_a 8.7348
_cell_length_b 4.0702
_cell_length_c 10.8810
_cell_angle_alpha 90.00
_cell_angle_beta 109.59
_cell_angle_gamma 90.00
loop_
_atom_site_label
_atom_site_type_symbol
_atom_site_fract_x
_atom_site_fract_y
_atom_site_fract_z
Rb1 Rb 0.2422 0.2500 0.3142
Rb2 Rb 0.7578 0.7500 0.6858
U1 U 0.3217 0.7500 0.8244
U2 U 0.6783 0.2500 0.1756
Se1 Se 0.1117 0.2500 0.9008
Se2 Se 0.3424 0.7500 0.5893
Se3 Se 0.4372 0.7500 0.1149
Se4 Se 0.5628 0.2500 0.8851
Se5 Se 0.6576 0.2500 0.4107
Se6 Se 0.8883 0.7500 0.0992
S1 S 0.1218 0.2500 0.6973
S2 S 0.8782 0.7500 0.3027
```

---

Entry 5:
A relaxed structure of NdErMgSn, computed with PBE-GGA.

The formation energy comes out at -0.400 eV per atom. The crystal system is cubic.

```
data_NdErMgSn
_chemical_formula_sum 'Nd4 Er4 Mg4 Sn4'
_symmetry_space_group_name_H-M 'P 1'
_symmetry_Int_Tables_number 1
_symmetry_space_group_name_Hall 'P 1'
_cell_length_a 7.5737
_cell_length_b 7.5737
_cell_length_c 7.5737
_cell_angle_alpha 90.00
_cell_angle_beta 90.00
_cell_angle_gamma 90.00
loop_
_atom_site_label
_atom_site_type_symbol
_atom_site_fract_x
_atom_site_fract_y
_atom_site_fract_z
Nd1 Nd 0.0000 0.0000 0.0000
Nd2 Nd 0.0000 0.5000 0.5000
Nd3 Nd 0.5000 0.0000 0.5000
Nd4 Nd 0.5000 0.5000 0.0000
Er1 Er 0.0000 0.0000 0.5000
Er2 Er 0.0000 0.5000 0.0000
Er3 Er 0.5000 0.0000 0.0000
Er4 Er 0.5000 0.5000 0.5000
Mg1 Mg 0.2500 0.2500 0.7500
Mg2 Mg 0.2500 0.7500 0.2500
Mg3 Mg 0.7500 0.2500 0.2500
Mg4 Mg 0.7500 0.7500 0.7500
Sn1 Sn 0.2500 0.2500 0.2500
Sn2 Sn 0.2500 0.7500 0.7500
Sn3 Sn 0.7500 0.2500 0.7500
Sn4 Sn 0.7500 0.7500 0.2500
```

---

Entry 6:
A relaxed structure of Li2Ca3Bi4Pb2, computed with PBE-GGA.

The formation energy comes out at -0.543 eV per atom. The crystal system is trigonal.

```
data_Li2Ca3Bi4Pb2
_chemical_formula_sum 'Li2 Ca3 Bi4 Pb2'
_symmetry_space_group_name_H-M 'P 1'
_symmetry_Int_Tables_number 1
_symmetry_space_group_name_Hall 'P 1'
_cell_length_a 4.7837
_cell_length_b 4.7837
_cell_length_c 17.3076
_cell_angle_alpha 90.00
_cell_angle_beta 90.00
_cell_angle_gamma 120.00
loop_
_atom_site_label
_atom_site_type_symbol
_atom_site_fract_x
_atom_site_fract_y
_atom_site_fract_z
Li1 Li 0.3333 0.6667 0.1203
Li2 Li 0.6667 0.3333 0.8797
Ca1 Ca 0.0000 0.0000 0.0000
Ca2 Ca 0.0000 0.0000 0.2297
Ca3 Ca 0.0000 0.0000 0.7703
Bi1 Bi 0.3333 0.6667 0.3316
Bi2 Bi 0.3333 0.6667 0.8870
Bi3 Bi 0.6667 0.3333 0.1130
Bi4 Bi 0.6667 0.3333 0.6684
Pb1 Pb 0.3333 0.6667 0.5774
Pb2 Pb 0.6667 0.3333 0.4226
```

---

| no. | E_tot (eV for the cell shown) | total magnetic moment (μB/atom) |
| --- | --- | --- |
| 1 | -23.6 | 0.00 |
| 2 | -70.7 | 0.00 |
| 3 | -12.3 | 0.00 |
| 4 | -65.6 | 0.17 |
| 5 | -66.1 | 0.00 |
| 6 | -38.7 | 0.00 |